This record from Alexandria describes an optimized crystal structure of Ca3Tl. The functional is GGA-PBEsol.

Structure (POSCAR):
```
Ca3Tl
1.0
3.893 0.000 0.000
0.000 5.753 0.000
-1.947 -2.877 5.993
Tl Ca
1 3
direct
0.500 0.000 0.000 Tl
0.789 0.789 0.577 Ca
0.000 0.500 0.000 Ca
0.211 0.211 0.423 Ca
```

Computed properties:
D(E_F) ... 4.884 states/eV/f.u.
ΔH_f (0 K) ... -226 meV per atom
Calculated total energy ... -2.48 eV per atom